## AlPt (PBE-GGA)

Data for crystalline AlPt at its relaxed geometry.

Unit cell a=2.977 b=2.977 c=3.967 alpha=90.00 beta=90.00 gamma=120.00
Fractional coordinates of all 2 atoms:
Pt: 0.667 0.333 0.500
Al: 0.000 0.000 0.000

ΔH_f (0 K)   -0.833 eV/atom
VASP energy   -11.449 eV/cell

---

## AlPt (PBE-GGA)

Data for crystalline AlPt at its relaxed geometry.

Unit cell a=4.914 b=4.914 c=4.914 alpha=90.00 beta=90.00 gamma=90.00
Fractional coordinates of all 8 atoms:
Al: 0.344 0.656 0.156
Pt: 0.845 0.655 0.345
Pt: 0.345 0.845 0.655
Al: 0.156 0.344 0.656
Al: 0.656 0.156 0.344
Al: 0.844 0.844 0.844
Pt: 0.655 0.345 0.845
Pt: 0.155 0.155 0.155

ΔH_f (0 K)   -1.059 eV/atom
VASP energy   -47.602 eV/cell